Record 1
Material: PmTcP3
Method: DFT, PBE
State: optimized geometry

Volume, A^3/atom: 24.90
E_tot, eV/atom: -5.80
Density, g cm⁻³: 4.48

```
10
Lattice="-3.469 3.469 5.173 3.469 -3.469 5.173 3.469 3.469 -5.173" Properties=species:S:1:pos:R:3 pbc="T T T"
Pm 0.000 0.000 0.000
Pm 0.000 0.000 5.173
Tc 3.469 0.000 2.587
Tc 0.000 3.469 2.587
P 4.207 0.738 0.000
P 0.000 0.000 2.587
P 0.738 2.731 0.000
P 2.731 0.738 5.173
P 0.000 0.000 7.760
P -0.738 2.731 5.173
```

---

Record 2
Material: ReCl3
Method: DFT, PBE
State: optimized geometry

Volume, A^3/atom: 26.00
E_tot, eV/atom: -5.15
Density, g cm⁻³: 4.67

```
24
Lattice="5.178 2.989 6.718 -5.178 2.989 6.718 0.000 -5.978 6.718" Properties=species:S:1:pos:R:3 pbc="T T T"
Re -1.212 -0.699 5.536
Re 1.212 -0.699 5.536
Re 0.000 1.399 5.536
Re 0.000 -1.399 14.619
Re -1.212 0.699 14.619
Re 1.212 0.699 14.619
Cl -3.561 -2.056 10.118
Cl 0.000 -2.785 5.580
Cl -2.412 1.393 5.580
Cl -1.659 -0.958 7.861
Cl 0.000 -4.112 10.038
Cl -3.561 2.056 10.038
Cl -2.412 -1.393 14.575
Cl 1.659 -0.958 7.861
Cl 0.000 1.916 7.861
Cl 0.000 -1.916 12.294
Cl -1.659 0.958 12.294
Cl 2.412 1.393 5.580
Cl 3.561 -2.056 10.118
Cl 0.000 4.112 10.118
Cl 1.659 0.958 12.294
Cl 2.412 -1.393 14.575
Cl 0.000 2.785 14.575
Cl 3.561 2.056 10.038
```

---

Record 3
Material: Ho2ErTmIn2
Method: DFT, PBE
State: optimized geometry

Volume, A^3/atom: 27.45
E_tot, eV/atom: -4.29
Density, g cm⁻³: 9.03

```
6
Lattice="5.339 0.000 0.000 -2.670 4.624 0.000 0.000 0.000 6.671" Properties=species:S:1:pos:R:3 pbc="T T T"
Ho 0.000 0.000 1.670
Ho 0.000 0.000 5.001
Er 2.670 1.541 0.000
Tm 0.000 3.083 3.335
In 0.000 3.083 0.000
In 2.670 1.541 3.335
```

---

Record 4
Material: CsCu3PtS4
Method: DFT, PBE
State: optimized geometry

Volume, A^3/atom: 24.80
E_tot, eV/atom: -3.85
Density, g cm⁻³: 4.81

```
9
Lattice="6.066 0.000 0.000 0.000 6.066 0.000 0.000 0.000 6.066" Properties=species:S:1:pos:R:3 pbc="T T T"
Cs 0.000 0.000 0.000
Cu 0.000 3.033 3.033
Cu 3.033 0.000 3.033
Cu 3.033 3.033 0.000
Pt 3.033 3.033 3.033
S 1.717 1.717 1.717
S 1.717 4.348 4.348
S 4.348 1.717 4.348
S 4.348 4.348 1.717
```

---

Record 5
Material: BaSnHg
Method: DFT, PBE
State: optimized geometry

Volume, A^3/atom: 34.29
E_tot, eV/atom: -2.35
Density, g cm⁻³: 7.37

```
9
Lattice="9.381 0.000 0.000 -4.691 8.124 0.000 0.000 0.000 4.049" Properties=species:S:1:pos:R:3 pbc="T T T"
Ba -1.370 2.373 0.000
Ba 2.740 0.000 0.000
Ba 3.320 5.751 0.000
Sn 0.000 0.000 2.025
Sn 0.000 5.416 0.000
Sn 4.691 2.708 0.000
Hg -2.904 5.030 2.025
Hg 1.787 3.095 2.025
Hg 5.808 0.000 2.025
```

---

Record 6
Material: LaTmTa
Method: DFT, PBE
State: optimized geometry

Volume, A^3/atom: 30.69
ΔH_f (0 K), eV per formula unit: 3.69
E_tot, eV/atom: -5.85
Density, g cm⁻³: 8.82

```
12
Lattice="7.168 0.000 0.000 0.000 7.168 0.000 0.000 0.000 7.168" Properties=species:S:1:pos:R:3 pbc="T T T"
La 0.000 0.000 0.000
La 0.000 3.584 3.584
La 3.584 0.000 3.584
La 3.584 3.584 0.000
Tm 1.792 1.792 1.792
Tm 1.792 5.376 5.376
Tm 5.376 1.792 5.376
Tm 5.376 5.376 1.792
Ta 0.000 0.000 3.584
Ta 0.000 3.584 0.000
Ta 3.584 0.000 0.000
Ta 3.584 3.584 3.584
```

---

Record 7
Material: K2ZnGe3S8
Method: DFT, PBE
State: optimized geometry

Volume, A^3/atom: 26.14
E_tot, eV/atom: -4.30
Density, g cm⁻³: 2.80

```
56
Lattice="7.168 0.000 0.000 0.000 12.162 0.000 -1.814 0.000 16.790" Properties=species:S:1:pos:R:3 pbc="T T T"
K 1.401 0.000 1.356
K 0.677 7.537 9.723
K 1.362 8.147 3.414
K 0.545 11.711 11.645
K 4.810 5.630 5.145
K 4.678 1.456 7.066
K 3.993 2.065 13.376
K 3.953 6.081 15.434
Zn -0.115 3.864 1.572
Zn 2.521 9.930 6.610
Zn 2.833 3.848 10.179
Zn 5.469 9.945 15.218
Ge -0.755 3.577 10.028
Ge 0.101 3.307 15.591
Ge 1.419 3.032 4.462
Ge 1.186 4.356 7.209
Ge 0.854 4.599 12.926
Ge 1.889 10.165 14.982
Ge 3.465 4.084 1.808
Ge 4.500 10.680 3.864
Ge 4.168 10.437 9.581
Ge 3.935 9.113 12.328
Ge 5.253 9.388 1.199
Ge 6.109 9.658 6.761
S -0.931 10.797 8.762
S 0.132 8.931 0.580
S -0.124 2.172 3.195
S -0.811 5.273 11.556
S 0.728 8.391 6.608
S 1.080 5.206 5.096
S 0.095 11.438 14.988
S 1.690 5.364 1.671
S 0.521 2.420 13.527
S 0.477 5.471 14.986
S 1.420 2.184 6.569
S 1.042 2.327 10.067
S 2.481 11.134 4.559
S 1.808 8.908 13.047
S 2.552 11.376 8.464
S 3.504 2.493 0.173
S 1.850 8.574 16.617
S 2.803 5.295 8.326
S 3.547 2.826 3.743
S 2.873 5.052 12.230
S 3.935 8.265 10.221
S 4.312 8.409 6.722
S 4.877 11.552 1.804
S 4.833 8.502 3.263
S 3.664 11.445 15.119
S 5.259 5.357 1.802
S 4.274 11.288 11.694
S 4.626 2.310 10.182
S 6.165 11.354 5.233
S 5.478 8.253 13.595
S 5.223 2.850 16.209
S 6.285 4.716 8.028
```

---

Record 8
Material: Sc11Ir4
Method: DFT, PBE
State: optimized geometry

Volume, A^3/atom: 19.66
ΔH_f (0 K), eV per formula unit: -10.32
E_tot, eV/atom: -7.69
Density, g cm⁻³: 7.11

```
30
Lattice="0.000 6.657 6.657 6.657 0.000 6.657 6.657 6.657 0.000" Properties=species:S:1:pos:R:3 pbc="T T T"
Sc 8.222 5.091 5.091
Sc 2.088 2.088 2.088
Sc 4.569 4.569 2.088
Sc 4.569 2.088 4.569
Sc 6.657 6.657 2.648
Sc 6.657 2.648 6.657
Sc 10.665 6.657 6.657
Sc 5.091 5.091 5.091
Sc 8.222 8.222 5.091
Sc 8.222 5.091 8.222
Sc 11.226 8.744 8.744
Sc 2.088 4.569 4.569
Sc 5.091 8.222 5.091
Sc 5.091 5.091 8.222
Sc 8.222 8.222 8.222
Sc 2.648 6.657 6.657
Sc 6.657 10.665 6.657
Sc 6.657 6.657 10.665
Sc 8.744 11.226 8.744
Sc 8.744 8.744 11.226
Sc 11.226 11.226 11.226
Sc 5.091 8.222 8.222
Ir 0.000 0.000 0.000
Ir 3.328 3.328 0.000
Ir 3.328 0.000 3.328
Ir 6.657 3.328 3.328
Ir 0.000 3.328 3.328
Ir 3.328 6.657 3.328
Ir 3.328 3.328 6.657
Ir 6.657 6.657 6.657
```

---

Record 9
Material: NiSnBAu
Method: DFT, PBE
State: optimized geometry

Volume, A^3/atom: 15.21
Excess energy over the best structure of this formula in the dataset, eV per atom: 0.070
E_tot, eV/atom: -4.06
Density, g cm⁻³: 10.51

```
16
Lattice="6.243 0.000 0.000 0.000 6.243 0.000 0.000 0.000 6.243" Properties=species:S:1:pos:R:3 pbc="T T T"
Ni 0.000 0.000 0.000
Ni 0.000 3.122 3.122
Ni 3.122 0.000 3.122
Ni 3.122 3.122 0.000
Sn 1.561 1.561 1.561
Sn 1.561 4.682 4.682
Sn 4.682 1.561 4.682
Sn 4.682 4.682 1.561
B 1.561 1.561 4.682
B 1.561 4.682 1.561
B 4.682 1.561 1.561
B 4.682 4.682 4.682
Au 0.000 0.000 3.122
Au 0.000 3.122 0.000
Au 3.122 0.000 0.000
Au 3.122 3.122 3.122
```

---

Record 10
Material: HfCu2TeSe2
Method: DFT, PBE
State: optimized geometry

Volume, A^3/atom: 22.33
Excess energy over the best structure of this formula in the dataset, eV per atom: 0.037
E_tot, eV/atom: -5.21
Density, g cm⁻³: 7.33

```
12
Lattice="9.863 -1.962 0.000 9.863 1.962 0.000 -0.906 0.000 6.922" Properties=species:S:1:pos:R:3 pbc="T T T"
Hf 2.950 0.000 0.375
Hf 15.869 0.000 6.547
Cu 3.741 0.000 3.084
Cu 8.123 0.000 5.860
Cu 10.696 0.000 1.062
Cu 15.077 0.000 3.838
Te 8.052 0.000 1.356
Te 10.767 0.000 5.566
Se 1.414 0.000 2.415
Se 4.293 0.000 5.447
Se 14.526 0.000 1.475
Se 17.405 0.000 4.507
```

---

Record 11
Material: ZrZnCuPt
Method: DFT, PBE
State: optimized geometry

Volume, A^3/atom: 16.17
ΔH_f (0 K), eV per formula unit: -1.81
Excess energy over the best structure of this formula in the dataset, eV per atom: 0.095
E_tot, eV/atom: -5.35
Density, g cm⁻³: 10.66

```
16
Lattice="6.373 0.000 0.000 0.000 6.373 0.000 0.000 0.000 6.373" Properties=species:S:1:pos:R:3 pbc="T T T"
Zr 0.000 0.000 0.000
Zr 0.000 3.186 3.186
Zr 3.186 0.000 3.186
Zr 3.186 3.186 0.000
Zn 1.593 1.593 1.593
Zn 1.593 4.779 4.779
Zn 4.779 1.593 4.779
Zn 4.779 4.779 1.593
Cu 0.000 0.000 3.186
Cu 0.000 3.186 0.000
Cu 3.186 0.000 0.000
Cu 3.186 3.186 3.186
Pt 1.593 1.593 4.779
Pt 1.593 4.779 1.593
Pt 4.779 1.593 1.593
Pt 4.779 4.779 4.779
```